[1]
Here is a crystal of Ba2CaBiO6 relaxed with PBEsol from Alexandria via LeMat-Bulk. Energies are from SCAN.

Structure (CIF):
```
data_Ba2CaBiO6
_chemical_formula_sum 'Ba2 Ca1 Bi1 O6'
_cell_length_a 6.1180
_cell_length_b 6.1180
_cell_length_c 6.1180
_cell_angle_alpha 60.00
_cell_angle_beta 60.00
_cell_angle_gamma 60.00
_symmetry_space_group_name_H-M 'P 1'
_symmetry_Int_Tables_number 1
_symmetry_space_group_name_Hall 'P 1'
loop_
_atom_site_label
_atom_site_type_symbol
_atom_site_fract_x
_atom_site_fract_y
_atom_site_fract_z
Ba1 Ba 0.2500 0.2500 0.2500
Ba2 Ba 0.7500 0.7500 0.7500
Ca1 Ca 0.0000 0.0000 0.0000
Bi1 Bi 0.5000 0.5000 0.5000
O1 O 0.2581 0.2581 0.7419
O2 O 0.2581 0.7419 0.2581
O3 O 0.2581 0.7419 0.7419
O4 O 0.7419 0.2581 0.2581
O5 O 0.7419 0.2581 0.7419
O6 O 0.7419 0.7419 0.2581
```

Computed properties:
The value obtained for the total energy is -22.660 eV/atom. The calculation puts the spin magnetization at 0.11 μB per atom. The formation energy (no corrections) comes out at -2.1868 eV per atom.

---

[2]
Here is a crystal of YCr2P relaxed with PBEsol from Alexandria via LeMat-Bulk. Energies are from SCAN.

Structure (CIF):
```
data_YCr2P
_chemical_formula_sum 'Y1 Cr2 P1'
_cell_length_a 5.2393
_cell_length_b 5.2393
_cell_length_c 5.2393
_cell_angle_alpha 145.25
_cell_angle_beta 125.84
_cell_angle_gamma 65.97
_symmetry_space_group_name_H-M 'P 1'
_symmetry_Int_Tables_number 1
_symmetry_space_group_name_Hall 'P 1'
loop_
_atom_site_label
_atom_site_type_symbol
_atom_site_fract_x
_atom_site_fract_y
_atom_site_fract_z
Y1 Y 0.0000 0.0000 0.0000
Cr1 Cr 0.2994 0.7994 0.5000
Cr2 Cr 0.7006 0.2006 0.5000
P1 P 0.5000 0.5000 0.0000
```

Computed properties:
The value obtained for the total energy is -18.796 eV/atom. The calculation puts the spin magnetization at 1.75 μB per atom. The calculation puts the energy relative to the elements at -0.043 eV/atom.

---

> spin magnetization of number 2 (YCr2P)?

1.75 μB per atom